No. 1
Tb5ErCd4 | PBE-GGA | relaxed

Lattice parameters (Å, degrees): 3.699 3.699 20.225 90.00 90.00 90.00
Each line ends with the local moment (μB).
Fractional coordinates of all 10 atoms:
Er  0.000  0.000  0.000  -0.01
Cd  0.000  0.000  0.405  -0.01
Tb  0.500  0.500  0.311  -0.08
Cd  0.000  0.000  0.214  0.00
Tb  0.500  0.500  0.500  -0.08
Tb  0.500  0.500  0.881  -0.01
Cd  0.000  0.000  0.786  0.00
Tb  0.500  0.500  0.689  -0.08
Cd  0.000  0.000  0.595  -0.01
Tb  0.500  0.500  0.119  -0.01

Summary:
The space-group type is No. 123. The crystal system is tetragonal. The total magnetization is 0.439 μB/cell. The total DFT energy (no corrections) comes out at -33.8 eV for the cell shown.


No. 2
AgPd2Au8 | PBE-GGA | relaxed

Lattice parameters (Å, degrees): 5.294 7.893 7.557 58.52 70.41 50.06
Fractional coordinates of all 11 atoms:
Pd  0.000  0.307  0.386
Ag  0.500  0.000  0.000
Au  0.674  0.591  0.000
Au  0.900  0.325  0.769
Au  0.500  0.780  0.440
Au  0.900  0.094  0.231
Au  0.100  0.675  0.231
Au  0.100  0.906  0.769
Au  0.500  0.220  0.560
Pd  0.000  0.693  0.614
Au  0.326  0.409  0.000

Summary:
The space-group type is No. 12. The crystal system is monoclinic. The total magnetization is 0.000 μB/cell. The total DFT energy (no corrections) comes out at -38.6 eV for the cell shown.


No. 3
LiTcNiIr | PBE-GGA | relaxed

Lattice parameters (Å, degrees): 4.197 4.197 4.197 60.00 60.00 60.00
Each line ends with the local moment (μB).
Fractional coordinates of all 4 atoms:
Ir  0.500  0.500  0.500  0.05
Ni  0.000  0.000  0.000  0.55
Tc  0.750  0.750  0.750  0.35
Li  0.250  0.250  0.250  0.00

Summary:
The space-group type is No. 216. The crystal system is cubic. The total magnetization is 0.956 μB/cell. The total DFT energy (no corrections) comes out at -26.8 eV for the cell shown.


No. 4
TcAs2SeF | PBE-GGA | relaxed

Lattice parameters (Å, degrees): 4.813 4.769 4.813 90.00 90.00 90.00
Fractional coordinates of all 5 atoms:
F  0.500  0.500  0.500
Tc  0.000  0.000  0.000
Se  0.000  0.500  0.000
As  0.000  0.000  0.500
As  0.500  0.000  0.000

Summary:
The space-group type is No. 123. The crystal system is tetragonal. The total magnetization is 0.000 μB/cell. For the uncorrected formation energy, the calculation gives 0.137 eV/atom. The total DFT energy (no corrections) comes out at -24.3 eV for the cell shown.


No. 5
PPdNO2 | PBE-GGA | relaxed

Lattice parameters (Å, degrees): 3.350 3.350 4.095 90.00 90.00 90.00
Fractional coordinates of all 5 atoms:
Pd  0.500  0.500  0.500
O  0.000  0.500  0.000
N  0.000  0.000  0.500
P  0.000  0.000  0.000
O  0.500  0.000  0.000

Summary:
The space-group type is No. 123. The crystal system is tetragonal. The total magnetization is 0.000 μB/cell. For the uncorrected formation energy, the calculation gives 0.037 eV/atom. The total DFT energy (no corrections) comes out at -28.7 eV for the cell shown.


No. 6
AsAu4Br | PBE-GGA | relaxed

Lattice parameters (Å, degrees): 5.609 5.609 5.609 60.00 60.00 60.00
Fractional coordinates of all 6 atoms:
Au  0.375  0.375  0.876
Au  0.375  0.876  0.375
Au  0.876  0.375  0.375
Br  0.750  0.750  0.750
Au  0.375  0.375  0.375
As  0.000  0.000  0.000

Summary:
The space-group type is No. 216. The crystal system is cubic. The total magnetization is 0.002 μB/cell. For the uncorrected formation energy, the calculation gives 0.386 eV/atom. The total DFT energy (no corrections) comes out at -17.1 eV for the cell shown.